Here is AcZn4Cu2Ag after structural relaxation from Alexandria via LeMat-Bulk. Energies are from PBE-GGA.

Properties
volume = 18.8 Å³/atom
energy of formation = -0.1005 eV per atom
D(E_F) = 0.510 states/eV/atom

Cell: 4.2727 4.2727 9.8074 Å, 77.42 77.42 60.00°
Closest atoms and distances in Å follow each position.
Positions (direct):
Ac: 0.0000 0.0000 0.0000  8 Zn 3.25-3.57
Zn: 0.4077 0.4077 0.7768  3 Cu 2.55, 1 Ag 2.63
Zn: 0.8745 0.8745 0.3766  3 Cu 2.60, 3 Ag 2.73, 3 Zn 2.86
Zn: 0.1255 0.1255 0.6234  3 Cu 2.60, 3 Ag 2.73, 3 Zn 2.86
Zn: 0.5923 0.5923 0.2232  3 Cu 2.55, 1 Ag 2.63
Cu: 0.7636 0.7636 0.7092  6 Zn 2.55-2.60
Cu: 0.2364 0.2364 0.2908  6 Zn 2.55-2.60
Ag: 0.5000 0.5000 0.5000  8 Zn 2.63-2.73



Here is Ac2Zn12Cu3Ag after structural relaxation from Alexandria via LeMat-Bulk. Energies are from PBE-GGA.

Properties
volume = 22.4 Å³/atom
energy of formation = 0.2132 eV per atom
D(E_F) = 0.502 states/eV/atom

Cell: 8.3923 8.3923 8.3923 Å, 58.50 58.50 58.50°
Closest atoms and distances in Å follow each position.
Positions (direct):
Ac: 0.6179 0.6179 0.6179  6 Zn 3.15-3.18
Ac: 0.3821 0.3821 0.3821  6 Zn 3.15-3.18
Zn: 0.3496 0.3496 0.8739  2 Cu 2.37
Zn: 0.8869 0.8869 0.3820  1 Cu 2.38, 1 Ag 2.58
Zn: 0.3820 0.8869 0.8869  1 Cu 2.38, 1 Ag 2.58
Zn: 0.8739 0.3496 0.3496  2 Cu 2.37
Zn: 0.8869 0.3820 0.8869  1 Cu 2.38, 1 Ag 2.58
Zn: 0.3496 0.8739 0.3496  2 Cu 2.37
Zn: 0.6504 0.6504 0.1261  2 Cu 2.37
Zn: 0.1131 0.1131 0.6180  1 Cu 2.38, 1 Ag 2.58
Zn: 0.6180 0.1131 0.1131  1 Cu 2.38, 1 Ag 2.58
Zn: 0.1261 0.6504 0.6504  2 Cu 2.37
Zn: 0.1131 0.6180 0.1131  1 Cu 2.38, 1 Ag 2.58
Zn: 0.6504 0.1261 0.6504  2 Cu 2.37
Cu: 0.5000 0.0000 0.0000  6 Zn 2.37-2.38
Cu: 0.0000 0.5000 0.0000  6 Zn 2.37-2.38
Cu: 0.0000 0.0000 0.5000  6 Zn 2.37-2.38
Ag: 0.0000 0.0000 0.0000  6 Zn 2.58



| no. | E (eV per atom) |
| --- | --- |
| 1 | -2.63 |
| 2 | -1.93 |